No. 1
Below is an optimized crystal structure of SmUSe2F2, with properties calculated at the GGA-PBE level.

The space group is P4mm (No. 99) and the conventional cell measures 3.941, 3.941 and 7.204 Å, with angles of 90.00, 90.00 and 90.00 degrees. The inequivalent atoms are Sm at (0.000, 0.000, 0.000), U at (0.500, 0.500, 0.552), Se at (0.000, 0.000, 0.425), Se at (0.500, 0.500, 0.139) and F at (0.000, 0.500, 0.786).

As for the mass density: 8.67 g cm⁻³. For the total energy, the calculation gives -0.5107 Ry per atom. The value obtained for the size of the total moment is 2.8 μB per formula unit.

---

No. 2
Below is an optimized crystal structure of K2ZrS4, with properties calculated at the GGA-PBE level.

The space group is Pbca (No. 61) and the conventional cell measures 6.739, 23.361 and 9.519 Å, with angles of 90.00, 90.00 and 90.00 degrees. The inequivalent atoms are K at (0.068, 0.199, 0.068), K at (0.204, 0.532, 0.359), Zr at (0.055, 0.131, 0.669), S at (0.074, 0.161, 0.409), S at (0.115, 0.590, 0.054), S at (0.136, 0.565, 0.669) and S at (0.207, 0.705, 0.765).

As for the mass density: 2.64 g cm⁻³. For the total energy, the calculation gives -0.3802 Ry per atom. The value obtained for the size of the total moment is 0.0 μB per formula unit.

---

No. 3
Below is an optimized crystal structure of PaTaIr, with properties calculated at the GGA-PBE level.

The space group is F-43m (No. 216) and the conventional cell measures 6.515, 6.515 and 6.515 Å, with angles of 90.00, 90.00 and 90.00 degrees. The inequivalent atoms are Pa at (0.000, 0.000, 0.000), Ta at (0.000, 0.000, 0.500) and Ir at (0.250, 0.250, 0.250).

For the energy above the most stable polymorph in this dataset, the calculation gives 0.0 meV/atom. As for the mass density: 14.51 g cm⁻³. For the total energy, the calculation gives -0.7352 Ry per atom. The value obtained for the size of the total moment is 1.2 μB per formula unit.

---

No. 4
Below is an optimized crystal structure of Li2PdPb, with properties calculated at the GGA-PBE level.

The space group is Pmmn (No. 59, origin choice 2) and the conventional cell measures 4.693, 5.782 and 5.050 Å, with angles of 90.00, 90.00 and 90.00 degrees. The inequivalent atoms are Li at (0.250, 0.001, 0.158), Pd at (0.250, 0.750, 0.674) and Pb at (0.250, 0.250, 0.653).

As for the mass density: 7.94 g cm⁻³. For the total energy, the calculation gives -0.2628 Ry per atom.

---

No. 5
Below is an optimized crystal structure of Zr2BiB2, with properties calculated at the GGA-PBE level.

The space group is Cmmm (No. 65) and the conventional cell measures 3.156, 15.519 and 3.416 Å, with angles of 90.00, 90.00 and 90.00 degrees. The inequivalent atoms are Zr at (0.000, 0.158, 0.000), Bi at (0.000, 0.500, 0.500) and B at (0.000, 0.273, 0.500).

As for the mass density: 8.20 g cm⁻³. For the total energy, the calculation gives -0.5476 Ry per atom. The value obtained for the size of the total moment is 0.0 μB per formula unit.

---

No. 6
Below is an optimized crystal structure of NaErSeO, with properties calculated at the GGA-PBE level.

The space group is P2_1/c (No. 14) and the conventional cell measures 7.025, 7.300 and 6.332 Å, with angles of 90.00, 102.76 and 90.00 degrees. The inequivalent atoms are Na at (0.096, 0.234, 0.490), Er at (0.463, 0.624, 0.772), Se at (0.212, 0.581, 0.337) and O at (0.396, 0.153, 0.385).

For the energy above the most stable polymorph in this dataset, the calculation gives 29.4 meV/atom. As for the mass density: 5.98 g cm⁻³. For the total energy, the calculation gives -0.4301 Ry per atom. The value obtained for the size of the total moment is 0.0 μB per formula unit.

---

No. 7
Below is an optimized crystal structure of NbPOsO, with properties calculated at the GGA-PBE level.

The space group is P4/nmm (No. 129, origin choice 2) and the conventional cell measures 4.045, 4.045 and 6.305 Å, with angles of 90.00, 90.00 and 90.00 degrees. The inequivalent atoms are Nb at (0.250, 0.250, 0.129), P at (0.250, 0.250, 0.693), Os at (0.250, 0.750, 0.500) and O at (0.250, 0.750, 0.000).

For the energy above the most stable polymorph in this dataset, the calculation gives 0.0 meV/atom. As for the mass density: 10.63 g cm⁻³. For the total energy, the calculation gives -0.6472 Ry per atom. The value obtained for the size of the total moment is 0.0 μB per formula unit.

---

No. 8
Below is an optimized crystal structure of ScBe2Ir2, with properties calculated at the GGA-PBE level.

The space group is I4/mmm (No. 139) and the conventional cell measures 3.789, 3.789 and 9.914 Å, with angles of 90.00, 90.00 and 90.00 degrees. The inequivalent atoms are Sc at (0.000, 0.000, 0.000), Be at (0.000, 0.500, 0.250) and Ir at (0.000, 0.000, 0.373).

For the energy above the most stable polymorph in this dataset, the calculation gives 240.9 meV/atom. As for the mass density: 10.44 g cm⁻³. For the total energy, the calculation gives -0.5001 Ry per atom. The value obtained for the size of the total moment is 0.0 μB per formula unit.

---

Q: Among the records above, which one has the highest mass density?
A: PaTaIr